VASP calculation (SCAN) on Sn2Os2F at its PBEsol-relaxed geometry.

a = 3.5945 Å, b = 3.5945 Å, c = 7.5816 Å
α = 103.71°, β = 103.71°, γ = 90.00°
Closest atoms and distances in Å follow each position.
Fractional coordinates of all 5 atoms:
Os 0.7500 0.2500 0.5000  4 Os 2.54, 4 Sn 2.80
Os 0.2500 0.7500 0.5000  4 Os 2.54, 4 Sn 2.80
Sn 0.4005 0.4005 0.8009  4 Os 2.80, 1 Sn 2.84, 4 F 2.91
Sn 0.5995 0.5995 0.1991  4 Os 2.80, 1 Sn 2.84, 4 F 2.91
F 0.0000 0.0000 0.0000  8 Sn 2.91

## Properties
* calculated total energy: -218.980 eV/f.u.
* DOS(E_F): 0.750 states/eV/atom